Here is an optimized crystal structure of Nd3PaO from Alexandria via LeMat-Bulk. Energies are from GGA-PBE.

Cell lengths 5.016, 5.016, 5.016 Å; angles 90.00, 90.00, 90.00 degrees
Fractional coordinates of all 5 atoms:
Nd1 0.000 0.000 0.500
Nd2 0.000 0.500 0.000
Nd3 0.500 0.000 0.000
Pa1 0.500 0.500 0.500
O1 0.000 0.000 0.000

Computed properties:
The calculation puts the spin magnetization at 0.002 Bohr magnetons per cell. The value obtained for the density is 8.94 g/cm3. As for the density of states at the Fermi level: 1.662 states/eV/atom. As for the energy relative to the elements, uncorrected: -4.18 eV/f.u. Its space group is No. 221.

Here is an optimized crystal structure of LiSnNO2 from Alexandria via LeMat-Bulk. Energies are from GGA-PBE.

Cell lengths 3.571, 3.571, 4.124 Å; angles 90.00, 90.00, 90.00 degrees
Fractional coordinates of all 5 atoms:
Li1 0.000 0.000 0.000
Sn1 0.500 0.500 0.500
N1 0.000 0.000 0.500
O1 0.000 0.500 0.000
O2 0.500 0.000 0.000

Computed properties:
The calculation puts the spin magnetization at 2.586 Bohr magnetons per cell. The value obtained for the density is 5.42 g/cm3. As for the density of states at the Fermi level: 0.449 states/eV/atom. As for the energy relative to the elements, uncorrected: 1.29 eV/f.u. Its space group is No. 123.

Here is an optimized crystal structure of KRh from Alexandria via LeMat-Bulk. Energies are from GGA-PBE.

Cell lengths 6.193, 6.193, 9.072 Å; angles 110.39, 110.39, 27.17 degrees
Fractional coordinates of all 6 atoms:
K1 0.000 0.000 0.000
K2 0.020 0.020 0.388
K3 0.682 0.682 0.761
Rh1 0.280 0.280 0.130
Rh2 0.360 0.360 0.591
Rh3 0.756 0.756 0.348

Computed properties:
The calculation puts the spin magnetization at 0.002 Bohr magnetons per cell. For the final energy, the calculation gives -22.0 eV/cell. The value obtained for the density is 4.77 g/cm3. As for the density of states at the Fermi level: 1.197 states/eV/atom. Its space group is No. 8.

Here is an optimized crystal structure of BaLi2Zn2 from Alexandria via LeMat-Bulk. Energies are from GGA-PBE.

Cell lengths 6.265, 6.265, 5.335 Å; angles 110.01, 110.01, 43.00 degrees
Fractional coordinates of all 5 atoms:
Ba1 0.000 0.000 0.000
Li1 0.326 0.326 0.426
Li2 0.674 0.674 0.574
Zn1 0.262 0.262 0.883
Zn2 0.738 0.738 0.117

Computed properties:
The calculation puts the spin magnetization at 0.000 Bohr magnetons per cell. For the final energy, the calculation gives -8.8 eV/cell. The value obtained for the density is 3.53 g/cm3. As for the density of states at the Fermi level: 0.633 states/eV/atom. Its space group is No. 12.

Here is an optimized crystal structure of Hf5GeSb2 from Alexandria via LeMat-Bulk. Energies are from GGA-PBE.

Cell lengths 7.166, 7.166, 12.026 Å; angles 90.00, 90.00, 138.18 degrees
Fractional coordinates of all 16 atoms:
Hf1 0.099 0.901 0.626
Hf2 0.099 0.901 0.874
Hf3 0.309 0.691 0.250
Hf4 0.312 0.688 0.526
Hf5 0.312 0.688 0.974
Hf6 0.688 0.312 0.026
Hf7 0.688 0.312 0.474
Hf8 0.691 0.309 0.750
Hf9 0.901 0.099 0.126
Hf10 0.901 0.099 0.374
Ge1 0.275 0.725 0.750
Ge2 0.725 0.275 0.250
Sb1 0.116 0.884 0.116
Sb2 0.116 0.884 0.384
Sb3 0.884 0.116 0.616
Sb4 0.884 0.116 0.884

Computed properties:
The calculation puts the spin magnetization at 0.000 Bohr magnetons per cell. The value obtained for the density is 9.75 g/cm3. As for the density of states at the Fermi level: 0.852 states/eV/atom. As for the energy relative to the elements, uncorrected: 0.11 eV/f.u. Its space group is No. 63.